DFT (PBE) results for a relaxed U2Ti2S7 crystal.

crystal system: orthorhombic
calculated volume: 18.29 A^3/atom
E_form (uncorrected): -1.253 eV/atom
total energy: -7.367 eV/atom

abc: 3.6549 13.4544 8.1810
angles: 90.00 90.00 90.00
Space group Imm2 (No. 44)
Unique sites:
1 U 0.0000 0.2353 0.0000 x4
2 Ti 0.0000 0.0000 0.7691 x2
3 Ti 0.0000 0.5000 0.8176 x2
4 S 0.0000 0.0000 0.0898 x2
5 S 0.0000 0.1022 0.4985 x4
6 S 0.0000 0.3292 0.7115 x4
7 S 0.0000 0.3702 0.3072 x4

DFT (PBE) results for a relaxed U6TiS8 crystal.

crystal system: trigonal
calculated volume: 25.52 A^3/atom
E_form (uncorrected): -0.818 eV/atom
total energy: -8.061 eV/atom

abc: 11.0388 11.0388 10.8814
angles: 90.00 90.00 120.00
Space group R-3 (No. 148, hexagonal axes)
Unique sites:
1 U 0.0541 0.8262 0.3517 x18
2 Ti 0.0000 0.0000 0.0000 x3
3 S 0.0000 0.0000 0.2163 x6
4 S 0.0267 0.5815 0.2630 x18

DFT (PBE) results for a relaxed UTiS2 crystal.

crystal system: trigonal
calculated volume: 18.03 A^3/atom
E_form (uncorrected): -1.275 eV/atom
total energy: -8.134 eV/atom
ΔE to the lowest computed polymorph: 0.0 meV per atom

abc: 3.5856 3.5856 19.4363
angles: 90.00 90.00 120.00
Space group R3m (No. 160, hexagonal axes)
Unique sites:
1 U 0.0000 0.0000 0.0000 x3
2 Ti 0.0000 0.0000 0.1790 x3
3 S 0.0000 0.0000 0.5774 x3
4 S 0.0000 0.0000 0.7652 x3

DFT (PBE) results for a relaxed U2Ti2S5 crystal.

crystal system: monoclinic
calculated volume: 20.03 A^3/atom
E_form (uncorrected): -1.247 eV/atom
total energy: -7.803 eV/atom

abc: 12.7071 4.6527 6.8741
angles: 90.00 117.51 90.00
Space group C2/m (No. 12)
Unique sites:
1 U 0.1115 0.0000 0.2721 x4
2 Ti 0.1654 0.5000 0.8975 x4
3 S 0.0000 0.5000 0.0000 x2
4 S 0.1268 0.0000 0.8709 x4
5 S 0.1481 0.5000 0.5328 x4

DFT (PBE) results for a relaxed UTiS2 crystal.

crystal system: trigonal
calculated volume: 20.34 A^3/atom
E_form (uncorrected): -0.824 eV/atom
total energy: -7.684 eV/atom
ΔE to the lowest computed polymorph: 450.4 meV per atom

abc: 3.3213 3.3213 25.5562
angles: 90.00 90.00 120.00
Space group R-3m (No. 166, hexagonal axes)
Unique sites:
1 U 0.0000 0.0000 0.0000 x3
2 Ti 0.0000 0.0000 0.5000 x3
3 S 0.0000 0.0000 0.1081 x6

DFT (PBE) results for a relaxed Ti4V2S crystal.

crystal system: tetragonal
calculated volume: 17.65 A^3/atom
E_form (uncorrected): 0.278 eV/atom
total energy: -7.428 eV/atom

abc: 4.4562 4.4562 12.4430
angles: 90.00 90.00 90.00
Space group I4/mmm (No. 139)
Unique sites:
1 Ti 0.0000 0.0000 0.1920 x4
2 Ti 0.0000 0.5000 0.0000 x4
3 V 0.0000 0.0000 0.3797 x4
4 S 0.0000 0.0000 0.0000 x2

Copy entry 6 word for word.
DFT (PBE) results for a relaxed Ti4V2S crystal.

crystal system: tetragonal
calculated volume: 17.65 A^3/atom
E_form (uncorrected): 0.278 eV/atom
total energy: -7.428 eV/atom

abc: 4.4562 4.4562 12.4430
angles: 90.00 90.00 90.00
Space group I4/mmm (No. 139)
Unique sites:
1 Ti 0.0000 0.0000 0.1920 x4
2 Ti 0.0000 0.5000 0.0000 x4
3 V 0.0000 0.0000 0.3797 x4
4 S 0.0000 0.0000 0.0000 x2